# 1
CsUP2O8: optimized geometry, PBE-GGA.

Calculated values
Its crystal system is monoclinic. For the density, the calculation gives 4.3 g cm⁻³. As for the calculated total energy: -186.55 eV per cell.

Lattice parameters (Å, degrees): 9.119 5.642 9.387 90.00 117.00 90.00
Atoms (fractional coordinates):
Cs: 0.225 0.250 0.037
Cs: 0.775 0.750 0.963
U: 0.280 0.750 0.517
U: 0.720 0.250 0.483
P: 0.002 0.250 0.302
P: 0.497 0.250 0.647
P: 0.503 0.750 0.353
P: 0.998 0.750 0.698
O: 0.058 0.750 0.875
O: 0.110 0.026 0.385
O: 0.110 0.474 0.385
O: 0.144 0.750 0.653
O: 0.313 0.750 0.274
O: 0.425 0.028 0.694
O: 0.425 0.472 0.694
O: 0.445 0.250 0.466
O: 0.555 0.750 0.534
O: 0.575 0.528 0.306
O: 0.575 0.972 0.306
O: 0.687 0.250 0.726
O: 0.856 0.250 0.347
O: 0.890 0.526 0.615
O: 0.890 0.974 0.615
O: 0.942 0.250 0.125

***

# 2
CsUP2O8: optimized geometry, PBE-GGA.

Calculated values
Its crystal system is trigonal. For the density, the calculation gives 4.1 g cm⁻³. As for the calculated total energy: -93.69 eV per cell.

Lattice parameters (Å, degrees): 9.662 9.662 9.662 32.23 32.23 32.23
Atoms (fractional coordinates):
Cs: 0.000 0.000 0.000
U: 0.500 0.500 0.500
P: 0.235 0.235 0.235
P: 0.765 0.765 0.765
O: 0.088 0.561 0.714
O: 0.286 0.912 0.439
O: 0.289 0.289 0.289
O: 0.439 0.286 0.912
O: 0.561 0.714 0.088
O: 0.711 0.711 0.711
O: 0.714 0.088 0.561
O: 0.912 0.439 0.286

***

Question: Which of these has the lowest density?
Answer: number 2